The following is a PBE calculation of Y2ZnNi4Ge3 after structural relaxation, from Alexandria via LeMat-Bulk.

abc: 4.0604 4.0604 9.7861
angles: 90.00 90.00 90.00
Positions (direct):
Y1 0.5000 0.0000 0.2493
Y2 0.0000 0.5000 0.7507
Zn1 0.5000 0.5000 0.5000
Ni1 0.5000 0.5000 0.0000
Ni2 0.0000 0.0000 0.0000
Ni3 0.5000 0.0000 0.6329
Ni4 0.0000 0.5000 0.3671
Ge1 0.0000 0.0000 0.5000
Ge2 0.5000 0.0000 0.8702
Ge3 0.0000 0.5000 0.1298

The spin magnetization comes out at 0.000 μB/atom. The calculation puts the total DFT energy (no corrections) at -5.761 eV/atom. For the volume, the calculation gives 16.1 A^3/atom. The calculated formation energy comes out at -0.643 eV/atom.


The following is a PBE calculation of Nd3In3Hg after structural relaxation, from Alexandria via LeMat-Bulk.

abc: 4.7995 6.3047 14.8581
angles: 83.59 80.71 67.63
Positions (direct):
Nd1 0.5346 0.3116 0.6193
Nd2 0.4654 0.6884 0.3807
Nd3 0.2666 0.2446 0.2221
Nd4 0.7334 0.7554 0.7779
Nd5 0.3980 0.2815 0.9225
Nd6 0.6020 0.7185 0.0775
In1 0.8675 0.7221 0.5429
In2 0.1325 0.2779 0.4571
In3 0.1161 0.8420 0.9258
In4 0.8839 0.1580 0.0742
In5 0.9830 0.8049 0.2291
In6 0.0170 0.1951 0.7709
Hg1 0.7589 0.0989 0.3834
Hg2 0.2411 0.9011 0.6166

The spin magnetization comes out at 0.000 μB/atom. The calculation puts the total DFT energy (no corrections) at -3.717 eV/atom. For the volume, the calculation gives 29.3 A^3/atom. The calculated formation energy comes out at -0.457 eV/atom.


The following is a PBE calculation of YAs2Pt4 after structural relaxation, from Alexandria via LeMat-Bulk.

abc: 3.7867 8.1476 8.1476
angles: 90.00 90.00 90.00
Positions (direct):
Y1 0.5000 0.0000 0.0000
Y2 0.0000 0.5000 0.5000
As1 0.0000 0.2284 0.7716
As2 0.0000 0.7716 0.2284
As3 0.5000 0.7284 0.7284
As4 0.5000 0.2716 0.2716
Pt1 0.0000 0.0610 0.3080
Pt2 0.0000 0.9390 0.6920
Pt3 0.5000 0.1920 0.5610
Pt4 0.5000 0.8080 0.4390
Pt5 0.5000 0.4390 0.8080
Pt6 0.5000 0.5610 0.1920
Pt7 0.0000 0.3080 0.0610
Pt8 0.0000 0.6920 0.9390

The spin magnetization comes out at 0.000 μB/atom. The calculation puts the total DFT energy (no corrections) at -6.320 eV/atom. For the volume, the calculation gives 18.0 A^3/atom. The calculated formation energy comes out at -0.616 eV/atom.


The following is a PBE calculation of Co3BiC after structural relaxation, from Alexandria via LeMat-Bulk.

abc: 4.8952 4.8952 4.8952
angles: 90.00 90.00 90.00
Positions (direct):
C1 0.5000 0.5000 0.5000
Co1 0.0000 0.5000 0.0000
Co2 0.0000 0.0000 0.5000
Co3 0.5000 0.0000 0.0000
Bi1 0.0000 0.0000 0.0000

The spin magnetization comes out at 0.788 μB/atom. The calculation puts the total DFT energy (no corrections) at -4.109 eV/atom. For the volume, the calculation gives 23.5 A^3/atom. The calculated formation energy comes out at 2.775 eV/atom.


The following is a PBE calculation of Sb2RhCl after structural relaxation, from Alexandria via LeMat-Bulk.

abc: 3.3290 3.3374 8.5194
angles: 66.60 90.00 90.00
Positions (direct):
Cl1 0.5000 0.2500 0.2500
Rh1 0.5000 0.7500 0.7500
Sb1 0.0000 0.0397 0.9560
Sb2 0.0000 0.4603 0.5440

The spin magnetization comes out at 0.000 μB/atom. The calculation puts the total DFT energy (no corrections) at -4.650 eV/atom. For the volume, the calculation gives 21.7 A^3/atom. For the formation energy from raw total energies, the calculation gives -289 meV/atom.


The following is a PBE calculation of Pm3Y6Ho2In after structural relaxation, from Alexandria via LeMat-Bulk.

abc: 6.1618 6.1618 11.6891
angles: 95.06 95.06 120.01
Positions (direct):
Pm1 0.1666 0.8334 0.5000
Pm2 0.8334 0.1666 0.5000
Pm3 0.5000 0.5000 0.5000
Y1 0.9198 0.5925 0.7571
Y2 0.7530 0.7530 0.2440
Y3 0.0802 0.4075 0.2429
Y4 0.5925 0.9198 0.7571
Y5 0.2470 0.2470 0.7560
Y6 0.4075 0.0802 0.2429
Ho1 0.3339 0.6661 0.0000
Ho2 0.6661 0.3339 0.0000
In1 0.0000 0.0000 0.0000

The spin magnetization comes out at 0.037 μB/atom. The calculation puts the total DFT energy (no corrections) at -5.450 eV/atom. For the volume, the calculation gives 31.5 A^3/atom. The calculated formation energy comes out at -0.040 eV/atom.